(1)
A PBEsol-optimized structure of BeP2Ir, computed with SCAN.

Structure (POSCAR):
```
BeP2Ir
1.0
3.599 0.000 0.000
-1.800 3.695 0.009
0.000 -1.750 4.618
P Ir Be
2 1 1
Cartesian
0.000 -0.618 4.065
0.000 0.584 1.553
1.800 0.793 3.015
0.000 2.257 2.932
```

As for the crystal system: monoclinic. As for the space-group type: No. 8. Its formation energy is -0.205 eV per atom.

(2)
A PBEsol-optimized structure of BePIr2, computed with SCAN.

Structure (POSCAR):
```
BePIr2
1.0
4.198 0.000 0.000
2.099 3.636 0.000
2.099 1.212 3.428
P Ir Be
1 2 1
Cartesian
6.297 3.636 2.571
0.000 0.000 0.000
2.099 1.212 0.857
4.198 2.424 1.714
```

As for the crystal system: cubic. As for the space-group type: No. 216. Its formation energy is 0.401 eV per atom. As for the energy above the most stable polymorph in this dataset: 755.7 meV per atom.

(3)
A PBEsol-optimized structure of BePIr2, computed with SCAN.

Structure (POSCAR):
```
BePIr2
1.0
2.817 0.000 0.000
0.000 3.492 0.000
-1.409 -1.746 5.219
P Ir Be
1 2 1
Cartesian
0.000 0.000 4.828
0.000 0.000 0.449
1.409 0.000 2.989
0.000 1.746 2.171
```

As for the crystal system: orthorhombic. As for the space-group type: No. 44. Its formation energy is -0.354 eV per atom. As for the energy above the most stable polymorph in this dataset: 0.0 meV per atom.

(4)
A PBEsol-optimized structure of BeP3Ir, computed with SCAN.

Structure (POSCAR):
```
BeP3Ir
1.0
4.582 0.000 0.000
0.000 4.582 0.000
0.000 0.000 4.582
P Ir Be
3 1 1
Cartesian
0.000 2.291 0.000
0.000 0.000 2.291
2.291 0.000 0.000
0.000 0.000 0.000
2.291 2.291 2.291
```

As for the crystal system: cubic. As for the space-group type: No. 221. Its formation energy is 1.225 eV per atom.

(5)
A PBEsol-optimized structure of BePIrS2, computed with SCAN.

Structure (POSCAR):
```
BePIrS2
1.0
-4.014 -1.267 0.880
1.377 -4.597 -0.336
1.039 -0.032 4.697
P S Ir Be
1 2 1 1
Cartesian
-2.007 -0.633 0.440
0.520 -0.016 2.349
0.689 -2.299 -0.168
0.000 0.000 0.000
-0.799 -2.948 2.620
```

As for the crystal system: tetragonal. As for the space-group type: No. 123. The formation energy from raw total energies is 0.993 eV/atom.

(6)
A PBEsol-optimized structure of Be2TlIrPb, computed with SCAN.

Structure (POSCAR):
```
Be2TlIrPb
1.0
-4.290 -0.854 -0.623
-0.501 -0.649 4.342
-1.087 5.004 0.623
Pb Be Tl Ir
1 2 1 1
Cartesian
-2.939 1.751 2.171
-0.251 -0.325 2.171
-2.145 -0.427 -0.312
-0.543 2.502 0.311
0.000 0.000 0.000
```

As for the crystal system: tetragonal. As for the space-group type: No. 123. Its formation energy is 0.327 eV per atom.

(7)
A PBEsol-optimized structure of BeIr2Pd2, computed with SCAN.

Structure (POSCAR):
```
BeIr2Pd2
1.0
-0.195 0.144 -3.476
-0.481 -3.449 -0.116
-5.892 2.508 2.180
Be Ir Pd
1 2 2
Cartesian
0.000 0.000 0.000
-5.067 0.696 0.312
-1.500 -1.493 -1.724
-3.355 -1.297 0.134
-3.212 0.499 -1.546
```

As for the crystal system: tetragonal. As for the space-group type: No. 139. Its formation energy is 0.589 eV per atom.

(8)
A PBEsol-optimized structure of Be2IrPd, computed with SCAN.

Structure (POSCAR):
```
Be2IrPd
1.0
3.935 0.000 0.000
1.967 3.408 0.000
1.967 1.136 3.213
Be Ir Pd
2 1 1
Cartesian
1.967 1.136 0.803
5.902 3.408 2.410
3.935 2.272 1.606
0.000 0.000 0.000
```

As for the crystal system: cubic. As for the space-group type: No. 225. Its formation energy is -0.743 eV per atom.

(9)
A PBEsol-optimized structure of BeIr2Pt, computed with SCAN.

Structure (POSCAR):
```
BeIr2Pt
1.0
4.248 0.000 0.000
2.124 3.679 0.000
2.124 1.226 3.468
Be Ir Pt
1 2 1
Cartesian
4.248 2.452 1.734
0.000 0.000 0.000
6.372 3.679 2.601
2.124 1.226 0.867
```

As for the crystal system: cubic. As for the space-group type: No. 216. Its formation energy is 0.182 eV per atom.

(10)
A PBEsol-optimized structure of BeIr2Pt, computed with SCAN.

Structure (POSCAR):
```
BeIr2Pt
1.0
2.675 -0.004 0.000
-1.306 2.334 0.000
0.000 0.000 8.513
Be Ir Pt
1 2 1
Cartesian
0.684 1.165 0.000
0.000 0.000 1.848
0.000 0.000 6.664
0.684 1.165 4.256
```

As for the crystal system: orthorhombic. As for the space-group type: No. 65. Its formation energy is -0.057 eV per atom.

(11)
A PBEsol-optimized structure of BeIrPt4, computed with SCAN.

Structure (POSCAR):
```
BeIrPt4
1.0
5.108 0.000 0.000
2.554 4.423 0.000
2.554 1.474 4.170
Be Ir Pt
1 1 4
Cartesian
2.554 1.474 1.043
0.000 0.000 0.000
5.108 2.949 0.518
3.828 3.688 2.607
5.108 1.472 2.607
6.387 3.688 2.607
```

As for the crystal system: cubic. As for the space-group type: No. 216. Its formation energy is 0.551 eV per atom.

(12)
A PBEsol-optimized structure of BeIrPt3, computed with SCAN.

Structure (POSCAR):
```
BeIrPt3
1.0
-2.085 -3.962 -1.611
4.118 -2.343 0.433
-1.154 -1.204 4.456
Be Ir Pt
1 1 3
Cartesian
0.440 -3.755 1.639
0.000 0.000 0.000
2.059 -1.172 0.217
-0.577 -0.602 2.228
-1.042 -1.981 -0.805
```

As for the crystal system: cubic. As for the space-group type: No. 221. Its formation energy is 1.706 eV per atom.